Record 1
This record from Alexandria describes a relaxed structure of CuSnN2O. The functional is PBE-GGA.

POSCAR file:
```
CuSnN2O
1.0
-0.353 0.862 -4.097
2.611 -3.169 -0.892
-3.144 -2.518 -0.259
Sn N Cu O
1 2 1 1
Cartesian
0.000 0.000 0.000
-0.177 0.431 -2.049
1.305 -1.585 -0.446
-0.444 -2.412 -2.624
-1.572 -1.259 -0.129
```

* total magnetization: 0.60 μB per atom
* E_form (uncorrected): 1.134 eV per atom
* ρ: 5272 kg/m3


Record 2
This record from Alexandria describes a relaxed structure of SrCuNO2. The functional is PBE-GGA.

POSCAR file:
```
SrCuNO2
1.0
4.599 0.000 0.000
0.000 4.599 0.000
0.000 0.000 4.914
Cu O Sr N
1 2 1 1
Cartesian
2.300 2.300 2.457
2.300 0.000 0.000
0.000 2.300 0.000
0.000 0.000 0.000
0.000 0.000 2.457
```

* total magnetization: 0.22 μB per atom
* E_form (uncorrected): 0.902 eV per atom
* ρ: 3150 kg/m3


Record 3
This record from Alexandria describes a relaxed structure of SrCuNO2. The functional is PBE-GGA.

POSCAR file:
```
SrCuNO2
1.0
4.062 0.000 0.000
0.000 4.062 0.000
0.000 0.000 3.702
O Sr Cu N
2 1 1 1
Cartesian
0.000 2.031 0.000
2.031 0.000 0.000
2.031 2.031 1.851
0.000 0.000 0.000
0.000 0.000 1.851
```

* total magnetization: 0.34 μB per atom
* E_form (uncorrected): -0.578 eV per atom
* ρ: 5360 kg/m3


Record 4
This record from Alexandria describes a relaxed structure of TaCuN2O. The functional is PBE-GGA.

POSCAR file:
```
TaCuN2O
1.0
4.089 0.000 0.000
0.000 4.089 0.000
0.000 0.000 3.926
N O Ta Cu
2 1 1 1
Cartesian
2.044 0.000 0.000
0.000 2.044 0.000
0.000 0.000 1.963
0.000 0.000 0.000
2.044 2.044 1.963
```

* total magnetization: 0.30 μB per atom
* E_form (uncorrected): -0.054 eV per atom
* ρ: 7298 kg/m3


Record 5
This record from Alexandria describes a relaxed structure of TaCuNO2. The functional is PBE-GGA.

POSCAR file:
```
TaCuNO2
1.0
-3.256 -1.525 0.518
0.678 -2.358 -2.680
1.532 -2.417 2.514
N O Cu Ta
1 2 1 1
Cartesian
0.766 -1.208 1.257
0.339 -1.179 -1.340
-1.628 -0.763 0.259
0.000 0.000 0.000
-0.523 -3.150 0.176
```

* total magnetization: 0.00 μB per atom
* E_form (uncorrected): 0.116 eV per atom
* ρ: 9597 kg/m3


Record 6
This record from Alexandria describes a relaxed structure of TaCuNO2. The functional is PBE-GGA.

POSCAR file:
```
TaCuNO2
1.0
-0.473 -3.666 -1.332
3.889 -0.344 -0.435
0.304 -1.441 3.860
Cu O Ta N
1 2 1 1
Cartesian
1.860 -2.726 1.047
-0.237 -1.833 -0.666
1.945 -0.172 -0.218
0.000 0.000 0.000
0.152 -0.721 1.930
```

* total magnetization: 0.00 μB per atom
* E_form (uncorrected): -0.899 eV per atom
* ρ: 7565 kg/m3


Record 7
This record from Alexandria describes a relaxed structure of TaCuN2O. The functional is PBE-GGA.

POSCAR file:
```
TaCuN2O
1.0
-0.970 -0.741 3.505
0.179 -3.636 -0.720
3.455 -0.018 0.953
Cu O N Ta
1 1 2 1
Cartesian
0.000 0.000 0.000
1.727 -0.009 0.476
0.090 -1.818 -0.360
-0.485 -0.371 1.752
1.332 -2.198 1.869
```

* total magnetization: 0.00 μB per atom
* E_form (uncorrected): 0.629 eV per atom
* ρ: 9706 kg/m3


Record 8
This record from Alexandria describes a relaxed structure of CuTcNO2. The functional is PBE-GGA.

POSCAR file:
```
CuTcNO2
1.0
-0.672 3.295 1.605
-3.165 0.302 -1.944
-1.884 -1.747 2.796
Tc N O Cu
1 1 2 1
Cartesian
-2.861 0.925 1.229
-0.942 -0.873 1.398
-0.336 1.647 0.803
-1.582 0.151 -0.972
0.000 0.000 0.000
```

* total magnetization: 0.61 μB per atom
* E_form (uncorrected): 0.767 eV per atom
* ρ: 6536 kg/m3